# 1
Material: MgSn3Ru4
Method: DFT, PBE
State: optimized geometry

**SG**: No. 139
**DFT total energy**: -51.976 eV for the cell shown
**Spin magnetization**: 0.0 μB/cell

Cell and atoms, written as POSCAR:
```
MgSn3Ru4
1.0
-2.260 2.260 6.397
2.260 -2.260 6.397
2.260 2.260 -6.397
Mg Sn Ru
1 3 4
direct
0.000 0.000 0.000 Mg
0.245 0.245 0.000 Sn
0.500 0.500 0.000 Sn
0.755 0.755 0.000 Sn
0.127 0.627 0.500 Ru
0.373 0.873 0.500 Ru
0.627 0.127 0.500 Ru
0.873 0.373 0.500 Ru
```

---

# 2
Material: Mg2Sn4Ru
Method: DFT, PBE
State: optimized geometry

**SG**: No. 139
**DFT total energy**: -26.995 eV for the cell shown
**Spin magnetization**: 0.0 μB/cell

Cell and atoms, written as POSCAR:
```
Mg2Sn4Ru
1.0
-2.590 2.590 7.246
2.590 -2.590 7.246
2.590 2.590 -7.246
Mg Sn Ru
2 4 1
direct
0.122 0.122 0.000 Mg
0.878 0.878 0.000 Mg
0.000 0.500 0.500 Sn
0.315 0.315 0.000 Sn
0.500 0.000 0.500 Sn
0.685 0.685 0.000 Sn
0.500 0.500 0.000 Ru
```

---

# 3
Material: Mg2SnRu
Method: DFT, PBE
State: optimized geometry

**SG**: No. 122
**DFT total energy**: -30.724 eV for the cell shown
**Spin magnetization**: 0.0 μB/cell

Cell and atoms, written as POSCAR:
```
Mg2SnRu
1.0
-2.006 2.006 9.894
2.006 -2.006 9.894
2.006 2.006 -9.894
Mg Sn Ru
4 2 2
direct
0.106 0.625 0.981 Mg
0.375 0.356 0.481 Mg
0.644 0.125 0.019 Mg
0.875 0.894 0.519 Mg
0.250 0.750 0.500 Sn
0.500 0.500 0.000 Sn
0.000 0.000 0.000 Ru
0.750 0.250 0.500 Ru
```

---

# 4
Material: MgSn4Ru
Method: DFT, PBE
State: optimized geometry

**SG**: No. 140
**DFT total energy**: -56.298 eV for the cell shown
**Spin magnetization**: 0.0 μB/cell

Cell and atoms, written as POSCAR:
```
MgSn4Ru
1.0
-3.414 3.414 5.687
3.414 -3.414 5.687
3.414 3.414 -5.687
Mg Sn Ru
2 8 2
direct
0.000 0.000 0.000 Mg
0.500 0.500 0.000 Mg
0.015 0.515 0.810 Sn
0.205 0.015 0.500 Sn
0.295 0.795 0.810 Sn
0.485 0.295 0.500 Sn
0.515 0.705 0.500 Sn
0.705 0.205 0.190 Sn
0.795 0.985 0.500 Sn
0.985 0.485 0.190 Sn
0.250 0.250 0.000 Ru
0.750 0.750 0.000 Ru
```

---

| no. | energy relative to the elements (meV per atom) | calculated density (g/cm³) |
| --- | --- | --- |
| 1 | -159 | 9.966 |
| 2 | 212 | 5.332 |
| 3 | 276 | 5.597 |
| 4 | -211 | 7.517 |